A relaxed RbTeSe crystal. Source: the Alexandria database, functional PBE.

Cell and atoms, written as CIF:
```
data_RbTeSe
_space_group_name_H-M_alt 'P -1'
_space_group_IT_number 2
_cell_length_a 4.8986
_cell_length_b 7.0312
_cell_length_c 7.4787
_cell_angle_alpha 86.49
_cell_angle_beta 70.90
_cell_angle_gamma 80.58
loop_
_space_group_symop_operation_xyz
'x,y,z'
'-x,-y,-z'
loop_
_atom_site_label
_atom_site_fract_x
_atom_site_fract_y
_atom_site_fract_z
Rb1 0.1377 0.2514 0.2302
Te1 0.4157 0.2511 0.6710
Se1 0.1640 0.7527 0.1679
```

Results
N(E_F) = 0.87 states/eV/f.u.
E_form (uncorrected) = -0.611 eV per atom
ΔE to the lowest computed polymorph = 4.3 kJ per mole of atoms
calculated density = 4.039 g/cm³

***

A relaxed Th4SbRu2 crystal. Source: the Alexandria database, functional PBE.

Cell and atoms, written as CIF:
```
data_Th4SbRu2
_space_group_name_H-M_alt 'C m c m'
_space_group_IT_number 63
_space_group_name_Hall '-C 2c 2'
_cell_length_a 4.2793
_cell_length_b 13.3816
_cell_length_c 13.9103
_cell_angle_alpha 90.00
_cell_angle_beta 90.00
_cell_angle_gamma 90.00
loop_
_atom_site_label
_atom_site_fract_x
_atom_site_fract_y
_atom_site_fract_z
Th1 0.0000 0.0000 0.0000
Th2 0.0000 0.2668 0.1105
Th3 0.0000 0.4239 0.7500
Sb1 0.0000 0.1075 0.7500
Ru1 0.0000 0.3749 0.5585
```

Results
N(E_F) = 3.43 states/eV/f.u.
E_form (uncorrected) = -0.585 eV per atom
ΔE to the lowest computed polymorph = 0.0 kJ per mole of atoms
calculated density = 10.440 g/cm³

***

A relaxed MgCr2Co2 crystal. Source: the Alexandria database, functional PBE.

Cell and atoms, written as CIF:
```
data_MgCr2Co2
_space_group_name_H-M_alt 'P 4/m b m'
_space_group_IT_number 127
_space_group_name_Hall '-P 4 2ab'
_cell_length_a 6.9685
_cell_length_b 6.9685
_cell_length_c 2.5663
_cell_angle_alpha 90.00
_cell_angle_beta 90.00
_cell_angle_gamma 90.00
loop_
_atom_site_label
_atom_site_fract_x
_atom_site_fract_y
_atom_site_fract_z
Mg1 0.0000 0.0000 0.0000
Cr1 0.1653 0.3347 0.5000
Co1 0.1258 0.6258 0.0000
```

Results
N(E_F) = 5.44 states/eV/f.u.
formation energy = 202 meV per atom
ΔE to the lowest computed polymorph = 1.4 kJ per mole of atoms
calculated density = 6.560 g/cm³

***

A relaxed Tl2W4C crystal. Source: the Alexandria database, functional PBE.

Cell and atoms, written as CIF:
```
data_Tl2W4C
_space_group_name_H-M_alt 'I 4/m m m'
_space_group_IT_number 139
_space_group_name_Hall '-I 4 2'
_cell_length_a 4.1974
_cell_length_b 4.1974
_cell_length_c 14.2644
_cell_angle_alpha 90.00
_cell_angle_beta 90.00
_cell_angle_gamma 90.00
loop_
_atom_site_label
_atom_site_fract_x
_atom_site_fract_y
_atom_site_fract_z
Tl1 0.0000 0.0000 0.1587
W1 0.0000 0.0000 0.3591
W2 0.0000 0.5000 0.0000
C1 0.0000 0.0000 0.5000
```

Results
N(E_F) = 4.74 states/eV/f.u.
formation energy = 853 meV per atom
calculated density = 15.278 g/cm³

***

A relaxed Ce2CuSi2Ir5 crystal. Source: the Alexandria database, functional PBE.

Cell and atoms, written as CIF:
```
data_Ce2CuSi2Ir5
_space_group_name_H-M_alt 'P 4/m b m'
_space_group_IT_number 127
_space_group_name_Hall '-P 4 2ab'
_cell_length_a 9.6522
_cell_length_b 9.6522
_cell_length_c 3.5832
_cell_angle_alpha 90.00
_cell_angle_beta 90.00
_cell_angle_gamma 90.00
loop_
_atom_site_label
_atom_site_fract_x
_atom_site_fract_y
_atom_site_fract_z
Ce1 0.1758 0.3242 0.0000
Cu1 0.0000 0.0000 0.0000
Si1 0.1247 0.6247 0.0000
Ir1 0.0000 0.5000 0.5000
Ir2 0.0660 0.7912 0.5000
```

Results
N(E_F) = 7.53 states/eV/f.u.
E_form (uncorrected) = -0.607 eV per atom
calculated density = 13.540 g/cm³

***

A relaxed ScHgF3 crystal. Source: the Alexandria database, functional PBE.

Cell and atoms, written as CIF:
```
data_ScHgF3
_space_group_name_H-M_alt 'P m -3 m'
_space_group_IT_number 221
_space_group_name_Hall '-P 4 2 3'
_cell_length_a 4.5962
_cell_length_b 4.5962
_cell_length_c 4.5962
_cell_angle_alpha 90.00
_cell_angle_beta 90.00
_cell_angle_gamma 90.00
loop_
_atom_site_label
_atom_site_fract_x
_atom_site_fract_y
_atom_site_fract_z
Sc1 0.0000 0.0000 0.0000
Hg1 0.5000 0.5000 0.5000
F1 0.0000 0.5000 0.5000
```

Results
N(E_F) = 4.46 states/eV/f.u.
E_form (uncorrected) = -1.258 eV per atom
ΔE to the lowest computed polymorph = 156.5 kJ per mole of atoms
calculated density = 5.174 g/cm³

***

A relaxed H6IrI crystal. Source: the Alexandria database, functional PBE.

Cell and atoms, written as CIF:
```
data_H6IrI
_space_group_name_H-M_alt 'C 1 2/m 1'
_space_group_IT_number 12
_cell_length_a 7.6681
_cell_length_b 7.0613
_cell_length_c 5.4260
_cell_angle_alpha 90.00
_cell_angle_beta 134.83
_cell_angle_gamma 90.00
loop_
_space_group_symop_operation_xyz
'x,y,z'
'-x,-y,-z'
'-x,y,-z'
'x,-y,z'
'x+1/2,y+1/2,z'
'-x+1/2,-y+1/2,-z'
'-x+1/2,y+1/2,-z'
'x+1/2,-y+1/2,z'
loop_
_atom_site_label
_atom_site_fract_x
_atom_site_fract_y
_atom_site_fract_z
H1 0.9995 0.1713 0.2159
H2 0.0007 0.0000 0.6970
Ir1 0.0000 0.0000 0.0000
I1 0.0000 0.5000 0.5000
```

Results
N(E_F) = 2.52 states/eV/f.u.
total energy = -3.596 eV per atom
calculated density = 5.183 g/cm³

***

A relaxed TaTe2Os crystal. Source: the Alexandria database, functional PBE.

Cell and atoms, written as CIF:
```
data_TaTe2Os
_space_group_name_H-M_alt 'I -4 2 d'
_space_group_IT_number 122
_space_group_name_Hall 'I -4 2bw'
_cell_length_a 6.1873
_cell_length_b 6.1873
_cell_length_c 11.6684
_cell_angle_alpha 90.00
_cell_angle_beta 90.00
_cell_angle_gamma 90.00
loop_
_atom_site_label
_atom_site_fract_x
_atom_site_fract_y
_atom_site_fract_z
Ta1 0.0000 0.0000 0.0000
Te1 0.2289 0.2500 0.6250
Os1 0.0000 0.0000 0.5000
```

Results
N(E_F) = 4.42 states/eV/f.u.
E_form (uncorrected) = 0.874 eV per atom
ΔE to the lowest computed polymorph = 82.0 kJ per mole of atoms
calculated density = 9.314 g/cm³

***

A relaxed SbAsBr2 crystal. Source: the Alexandria database, functional PBE.

Cell and atoms, written as CIF:
```
data_SbAsBr2
_space_group_name_H-M_alt 'C m m 2'
_space_group_IT_number 35
_cell_length_a 3.4087
_cell_length_b 6.2774
_cell_length_c 10.4338
_cell_angle_alpha 90.00
_cell_angle_beta 90.00
_cell_angle_gamma 90.00
loop_
_space_group_symop_operation_xyz
'x,y,z'
'-x,-y,z'
'-x,y,z'
'x,-y,z'
'x+1/2,y+1/2,z'
'-x+1/2,-y+1/2,z'
'-x+1/2,y+1/2,z'
'x+1/2,-y+1/2,z'
loop_
_atom_site_label
_atom_site_fract_x
_atom_site_fract_y
_atom_site_fract_z
Sb1 0.0000 0.0000 0.0000
As1 0.0000 0.5000 0.2355
Br1 0.0000 0.0000 0.4362
Br2 0.0000 0.5000 0.7800
```

Results
N(E_F) = 1.94 states/eV/f.u.
E_form (uncorrected) = 0.190 eV per atom
ΔE to the lowest computed polymorph = 44.3 kJ per mole of atoms
calculated density = 5.303 g/cm³

***

A relaxed In2GaF crystal. Source: the Alexandria database, functional PBE.

Cell and atoms, written as CIF:
```
data_In2GaF
_space_group_name_H-M_alt 'I -4 2 d'
_space_group_IT_number 122
_space_group_name_Hall 'I -4 2bw'
_cell_length_a 5.3766
_cell_length_b 5.3766
_cell_length_c 14.0925
_cell_angle_alpha 90.00
_cell_angle_beta 90.00
_cell_angle_gamma 90.00
loop_
_atom_site_label
_atom_site_fract_x
_atom_site_fract_y
_atom_site_fract_z
In1 0.1920 0.2500 0.1250
Ga1 0.0000 0.0000 0.5000
F1 0.0000 0.0000 0.0000
```

Results
N(E_F) = 0.90 states/eV/f.u.
E_form (uncorrected) = -0.594 eV per atom
ΔE to the lowest computed polymorph = 5.0 kJ per mole of atoms
calculated density = 5.191 g/cm³

***

A relaxed Dy4HfAs5 crystal. Source: the Alexandria database, functional PBE.

Cell and atoms, written as CIF:
```
data_Dy4HfAs5
_space_group_name_H-M_alt 'I 4/m'
_space_group_IT_number 87
_space_group_name_Hall '-I 4'
_cell_length_a 9.0504
_cell_length_b 9.0504
_cell_length_c 5.7382
_cell_angle_alpha 90.00
_cell_angle_beta 90.00
_cell_angle_gamma 90.00
loop_
_atom_site_label
_atom_site_fract_x
_atom_site_fract_y
_atom_site_fract_z
Dy1 0.0963 0.3009 0.0000
Hf1 0.0000 0.0000 0.5000
As1 0.0000 0.0000 0.0000
As2 0.0974 0.2894 0.5000
```

Results
N(E_F) = 2.15 states/eV/f.u.
formation energy = -1422 meV per atom
calculated density = 8.501 g/cm³

***

A relaxed Sm3SbO crystal. Source: the Alexandria database, functional PBE.

Cell and atoms, written as CIF:
```
data_Sm3SbO
_space_group_name_H-M_alt 'P 1 21/c 1'
_space_group_IT_number 14
_cell_length_a 6.9508
_cell_length_b 6.5253
_cell_length_c 11.2524
_cell_angle_alpha 90.00
_cell_angle_beta 97.75
_cell_angle_gamma 90.00
loop_
_space_group_symop_operation_xyz
'x,y,z'
'-x,-y,-z'
'-x,y+1/2,-z+1/2'
'x,-y+1/2,z+1/2'
loop_
_atom_site_label
_atom_site_fract_x
_atom_site_fract_y
_atom_site_fract_z
Sm1 0.0667 0.0655 0.1501
Sm2 0.2077 0.5603 0.0786
Sm3 0.3709 0.1776 0.8927
Sb1 0.3732 0.6914 0.8351
O1 0.0769 0.2418 0.9718
```

Results
N(E_F) = 4.77 states/eV/f.u.
E_form (uncorrected) = -1.468 eV per atom
ΔE to the lowest computed polymorph = 0.9 kJ per mole of atoms
calculated density = 7.734 g/cm³

***

A relaxed Sm6Os2CCl3 crystal. Source: the Alexandria database, functional PBE.

Cell and atoms, written as CIF:
```
data_Sm6Os2CCl3
_space_group_name_H-M_alt 'C 1 2/m 1'
_space_group_IT_number 12
_cell_length_a 6.8964
_cell_length_b 12.0260
_cell_length_c 7.6573
_cell_angle_alpha 90.00
_cell_angle_beta 106.93
_cell_angle_gamma 90.00
loop_
_space_group_symop_operation_xyz
'x,y,z'
'-x,-y,-z'
'-x,y,-z'
'x,-y,z'
'x+1/2,y+1/2,z'
'-x+1/2,-y+1/2,-z'
'-x+1/2,y+1/2,-z'
'x+1/2,-y+1/2,z'
loop_
_atom_site_label
_atom_site_fract_x
_atom_site_fract_y
_atom_site_fract_z
Sm1 0.2172 0.1549 0.1960
Sm2 0.2447 0.5000 0.1931
Os1 0.0000 0.3306 0.0000
C1 0.0000 0.0000 0.0000
Cl1 0.0000 0.1552 0.5000
Cl2 0.0000 0.5000 0.5000
```

Results
N(E_F) = 8.74 states/eV/f.u.
E_form (uncorrected) = -0.819 eV per atom
calculated density = 7.658 g/cm³

***

A relaxed Tb3Nd8Er4 crystal. Source: the Alexandria database, functional PBE.

Cell and atoms, written as CIF:
```
data_Tb3Nd8Er4
_space_group_name_H-M_alt 'C 1 2/m 1'
_space_group_IT_number 12
_cell_length_a 13.7751
_cell_length_b 12.2170
_cell_length_c 6.8777
_cell_angle_alpha 90.00
_cell_angle_beta 117.99
_cell_angle_gamma 90.00
loop_
_space_group_symop_operation_xyz
'x,y,z'
'-x,-y,-z'
'-x,y,-z'
'x,-y,z'
'x+1/2,y+1/2,z'
'-x+1/2,-y+1/2,-z'
'-x+1/2,y+1/2,-z'
'x+1/2,-y+1/2,z'
loop_
_atom_site_label
_atom_site_fract_x
_atom_site_fract_y
_atom_site_fract_z
Tb1 0.0000 0.0000 0.0000
Tb2 0.2500 0.2500 0.5000
Nd1 0.0000 0.2057 0.5000
Nd2 0.0000 0.2538 0.0000
Nd3 0.2038 0.0000 0.6748
Nd4 0.2439 0.5000 0.7891
Er1 0.0000 0.5000 0.0000
Er2 0.0000 0.5000 0.5000
Er3 0.2500 0.2500 0.0000
```

Results
N(E_F) = 22.70 states/eV/f.u.
formation energy = 337 meV per atom
ΔE to the lowest computed polymorph = 16.8 kJ per mole of atoms
calculated density = 7.473 g/cm³

***

A relaxed Dy2Y8Tm crystal. Source: the Alexandria database, functional PBE.

Cell and atoms, written as CIF:
```
data_Dy2Y8Tm
_space_group_name_H-M_alt 'C 1 2/m 1'
_space_group_IT_number 12
_cell_length_a 9.0243
_cell_length_b 16.1523
_cell_length_c 5.8721
_cell_angle_alpha 90.00
_cell_angle_beta 123.32
_cell_angle_gamma 90.00
loop_
_space_group_symop_operation_xyz
'x,y,z'
'-x,-y,-z'
'-x,y,-z'
'x,-y,z'
'x+1/2,y+1/2,z'
'-x+1/2,-y+1/2,-z'
'-x+1/2,y+1/2,-z'
'x+1/2,-y+1/2,z'
loop_
_atom_site_label
_atom_site_fract_x
_atom_site_fract_y
_atom_site_fract_z
Dy1 0.0000 0.1922 0.0000
Y1 0.0000 0.2941 0.5000
Y2 0.0738 0.0000 0.2945
Y3 0.2158 0.3825 0.1752
Tm1 0.0000 0.5000 0.5000
```

Results
N(E_F) = 17.47 states/eV/f.u.
formation energy = 162 meV per atom
ΔE to the lowest computed polymorph = 3.0 kJ per mole of atoms
calculated density = 5.596 g/cm³

***

A relaxed YCd crystal. Source: the Alexandria database, functional PBE.

Cell and atoms, written as CIF:
```
data_YCd
_space_group_name_H-M_alt 'R -3 m'
_space_group_IT_number 166
_space_group_name_Hall '-R 3 2"'
_cell_length_a 4.9053
_cell_length_b 4.9053
_cell_length_c 16.3746
_cell_angle_alpha 90.00
_cell_angle_beta 90.00
_cell_angle_gamma 120.00
loop_
_atom_site_label
_atom_site_fract_x
_atom_site_fract_y
_atom_site_fract_z
Y1 0.0000 0.0000 0.1003
Cd1 0.0000 0.0000 0.3140
```

Results
N(E_F) = 1.50 states/eV/f.u.
formation energy = -103 meV per atom
calculated density = 5.878 g/cm³

***

A relaxed HoTm2Cd crystal. Source: the Alexandria database, functional PBE.

Cell and atoms, written as CIF:
```
data_HoTm2Cd
_space_group_name_H-M_alt 'R 3 m'
_space_group_IT_number 160
_space_group_name_Hall 'R 3 -2"'
_cell_length_a 3.5606
_cell_length_b 3.5606
_cell_length_c 31.7521
_cell_angle_alpha 90.00
_cell_angle_beta 90.00
_cell_angle_gamma 120.00
loop_
_atom_site_label
_atom_site_fract_x
_atom_site_fract_y
_atom_site_fract_z
Ho1 0.0000 0.0000 0.0000
Tm1 0.0000 0.0000 0.5779
Tm2 0.0000 0.0000 0.7555
Cd1 0.0000 0.0000 0.1665
```

Results
N(E_F) = 5.60 states/eV/f.u.
formation energy = -66 meV per atom
ΔE to the lowest computed polymorph = 7.6 kJ per mole of atoms
calculated density = 8.791 g/cm³

***

A relaxed ZrTl2SbS5 crystal. Source: the Alexandria database, functional PBE.

Cell and atoms, written as CIF:
```
data_ZrTl2SbS5
_space_group_name_H-M_alt 'C m c 21'
_space_group_IT_number 36
_cell_length_a 4.1128
_cell_length_b 17.9780
_cell_length_c 13.9947
_cell_angle_alpha 90.00
_cell_angle_beta 90.00
_cell_angle_gamma 90.00
loop_
_space_group_symop_operation_xyz
'x,y,z'
'-x,-y,z+1/2'
'-x,y,z'
'x,-y,z+1/2'
'x+1/2,y+1/2,z'
'-x+1/2,-y+1/2,z+1/2'
'-x+1/2,y+1/2,z'
'x+1/2,-y+1/2,z+1/2'
loop_
_atom_site_label
_atom_site_fract_x
_atom_site_fract_y
_atom_site_fract_z
Zr1 0.0000 0.2158 0.0000
Tl1 0.0000 0.1208 0.6275
Tl2 0.0000 0.1368 0.2874
Sb1 0.0000 0.4451 0.4014
S1 0.0000 0.0562 0.0046
S2 0.0000 0.2916 0.6107
S3 0.0000 0.3101 0.3681
S4 0.0000 0.3460 0.9688
S5 0.0000 0.4956 0.7516
```

Results
N(E_F) = 1.85 states/eV/f.u.
E_form (uncorrected) = -0.615 eV per atom
calculated density = 5.020 g/cm³

***

A relaxed CePdSe2 crystal. Source: the Alexandria database, functional PBE.

Cell and atoms, written as CIF:
```
data_CePdSe2
_space_group_name_H-M_alt 'C 1 m 1'
_space_group_IT_number 8
_cell_length_a 7.4053
_cell_length_b 4.2749
_cell_length_c 6.3515
_cell_angle_alpha 90.00
_cell_angle_beta 90.14
_cell_angle_gamma 90.00
loop_
_space_group_symop_operation_xyz
'x,y,z'
'x,-y,z'
'x+1/2,y+1/2,z'
'x+1/2,-y+1/2,z'
loop_
_atom_site_label
_atom_site_fract_x
_atom_site_fract_y
_atom_site_fract_z
Ce1 0.0000 0.0000 0.0000
Pd1 0.1657 0.5000 0.6520
Se1 0.1672 0.5000 0.2420
Se2 0.3326 0.0000 0.7480
```

Results
N(E_F) = 4.16 states/eV/f.u.
E_form (uncorrected) = -1.233 eV per atom
ΔE to the lowest computed polymorph = 3.3 kJ per mole of atoms
calculated density = 6.680 g/cm³

***

A relaxed Al2Ag crystal. Source: the Alexandria database, functional PBE.

Cell and atoms, written as CIF:
```
data_Al2Ag
_space_group_name_H-M_alt 'P -3 m 1'
_space_group_IT_number 164
_space_group_name_Hall '-P 3 2"'
_cell_length_a 2.9580
_cell_length_b 2.9580
_cell_length_c 6.6848
_cell_angle_alpha 90.00
_cell_angle_beta 90.00
_cell_angle_gamma 120.00
loop_
_atom_site_label
_atom_site_fract_x
_atom_site_fract_y
_atom_site_fract_z
Al1 0.3333 0.6667 0.3321
Ag1 0.0000 0.0000 0.0000
```

Results
N(E_F) = 0.66 states/eV/f.u.
formation energy = -53 meV per atom
calculated density = 5.305 g/cm³